Here is a relaxed structure of Be2Fe3 from Alexandria. Energies are from PBE.

Results
The value obtained for the total energy is -6.550 eV per atom. The calculation puts the excess energy over the best structure of this formula in the dataset at 2 kJ/mol of formula units.

```
data_Be2Fe3
_symmetry_space_group_name_H-M 'P 1'
_symmetry_Int_Tables_number 1
_symmetry_space_group_name_Hall 'P 1'
_cell_length_a 9.570
_cell_length_b 9.570
_cell_length_c 9.570
_cell_angle_alpha 14.66
_cell_angle_beta 14.66
_cell_angle_gamma 14.66
loop_
_atom_site_label
_atom_site_fract_x
_atom_site_fract_y
_atom_site_fract_z
_atom_site_occupancy
Be1 0.400 0.400 0.400 1
Be2 0.600 0.600 0.600 1
Fe1 0.000 0.000 0.000 1
Fe2 0.799 0.799 0.799 1
Fe3 0.201 0.201 0.201 1
```


Here is a relaxed structure of BeFe3 from Alexandria. Energies are from PBE.

Results
The value obtained for the total energy is -7.276 eV per atom.

```
data_BeFe3
_symmetry_space_group_name_H-M 'P 1'
_symmetry_Int_Tables_number 1
_symmetry_space_group_name_Hall 'P 1'
_cell_length_a 3.534
_cell_length_b 2.425
_cell_length_c 5.312
_cell_angle_alpha 62.60
_cell_angle_beta 90.00
_cell_angle_gamma 90.00
loop_
_atom_site_label
_atom_site_fract_x
_atom_site_fract_y
_atom_site_fract_z
_atom_site_occupancy
Be1 0.000 0.000 0.000 1
Fe1 0.500 0.741 0.757 1
Fe2 0.000 0.500 0.500 1
Fe3 0.500 0.259 0.243 1
```


Here is a relaxed structure of BeFe3 from Alexandria. Energies are from PBE.

Results
The value obtained for the total energy is -7.319 eV per atom.

```
data_BeFe3
_symmetry_space_group_name_H-M 'P 1'
_symmetry_Int_Tables_number 1
_symmetry_space_group_name_Hall 'P 1'
_cell_length_a 3.482
_cell_length_b 3.482
_cell_length_c 3.482
_cell_angle_alpha 90.00
_cell_angle_beta 90.00
_cell_angle_gamma 90.00
loop_
_atom_site_label
_atom_site_fract_x
_atom_site_fract_y
_atom_site_fract_z
_atom_site_occupancy
Be1 0.000 0.000 0.000 1
Fe1 0.000 0.500 0.500 1
Fe2 0.500 0.000 0.500 1
Fe3 0.500 0.500 0.000 1
```


Here is a relaxed structure of BeFe2 from Alexandria. Energies are from PBE.

Results
The value obtained for the total energy is -6.958 eV per atom.

```
data_BeFe2
_symmetry_space_group_name_H-M 'P 1'
_symmetry_Int_Tables_number 1
_symmetry_space_group_name_Hall 'P 1'
_cell_length_a 6.255
_cell_length_b 6.255
_cell_length_c 2.675
_cell_angle_alpha 90.00
_cell_angle_beta 90.00
_cell_angle_gamma 120.00
loop_
_atom_site_label
_atom_site_fract_x
_atom_site_fract_y
_atom_site_fract_z
_atom_site_occupancy
Be1 0.333 0.667 0.000 1
Be2 0.667 0.333 0.000 1
Be3 0.000 0.000 0.500 1
Fe1 0.270 0.000 0.000 1
Fe2 0.000 0.270 0.000 1
Fe3 0.730 0.730 0.000 1
Fe4 0.615 0.000 0.500 1
Fe5 0.000 0.615 0.500 1
Fe6 0.385 0.385 0.500 1
```


Here is a relaxed structure of Be2Fe from Alexandria. Energies are from PBE.

Results
The value obtained for the total energy is -5.206 eV per atom. The calculation puts the excess energy over the best structure of this formula in the dataset at 112 kJ/mol of formula units.

```
data_Be2Fe
_symmetry_space_group_name_H-M 'P 1'
_symmetry_Int_Tables_number 1
_symmetry_space_group_name_Hall 'P 1'
_cell_length_a 7.042
_cell_length_b 7.042
_cell_length_c 7.042
_cell_angle_alpha 156.94
_cell_angle_beta 156.94
_cell_angle_gamma 32.84
loop_
_atom_site_label
_atom_site_fract_x
_atom_site_fract_y
_atom_site_fract_z
_atom_site_occupancy
Be1 0.573 0.573 0.000 1
Be2 0.177 0.677 0.500 1
Be3 0.427 0.427 0.000 1
Be4 0.323 0.823 0.500 1
Fe1 0.000 0.000 0.000 1
Fe2 0.750 0.250 0.500 1
```


Here is a relaxed structure of BeFe3 from Alexandria. Energies are from PBE.

Results
The value obtained for the total energy is -7.274 eV per atom.

```
data_BeFe3
_symmetry_space_group_name_H-M 'P 1'
_symmetry_Int_Tables_number 1
_symmetry_space_group_name_Hall 'P 1'
_cell_length_a 4.427
_cell_length_b 4.427
_cell_length_c 4.427
_cell_angle_alpha 142.67
_cell_angle_beta 130.27
_cell_angle_gamma 63.80
loop_
_atom_site_label
_atom_site_fract_x
_atom_site_fract_y
_atom_site_fract_z
_atom_site_occupancy
Be1 0.000 0.000 0.000 1
Fe1 0.244 0.744 0.500 1
Fe2 0.500 0.500 0.000 1
Fe3 0.756 0.256 0.500 1
```


For each record above, in turn, the calculated M_tot values are 3.800; 2.617; 6.321; 12.132; 0.848; 2.881 μB per cell.